--- a ---
Entry from the Alexandria database: an optimized crystal structure of Na3CuF8 (PBE-GGA). Values from VASP.

The volume comes out at 12.42 Å³/atom. The value obtained for the density of states at the Fermi level is 7.4 states/eV/f.u.

Cell and atoms, written as Quantum ESPRESSO input:
```
&SYSTEM
  ibrav = 0, nat = 12, ntyp = 3
/
ATOMIC_SPECIES
F 19.00 F.upf
Na 22.99 Na.upf
Cu 63.55 Cu.upf
CELL_PARAMETERS angstrom
-4.749 0.702 2.373
-0.259 -5.248 1.034
4.893 3.052 2.848
ATOMIC_POSITIONS crystal
F 0.890 0.340 0.230
F 0.340 0.340 0.230
F 0.890 0.890 0.230
F 0.110 0.110 0.770
F 0.660 0.110 0.770
F 0.660 0.660 0.770
F 0.110 0.660 0.770
F 0.340 0.890 0.230
Na 0.250 0.750 0.500
Na 0.750 0.250 0.500
Na 0.500 0.500 0.000
Cu 0.000 0.000 0.000
```

--- b ---
Entry from the Alexandria database: an optimized crystal structure of Na3CuF8 (PBE-GGA). Values from VASP.

The volume comes out at 12.41 Å³/atom. The value obtained for the density of states at the Fermi level is 7.5 states/eV/f.u.

Cell and atoms, written as Quantum ESPRESSO input:
```
&SYSTEM
  ibrav = 0, nat = 12, ntyp = 3
/
ATOMIC_SPECIES
Na 22.99 Na.upf
F 19.00 F.upf
Cu 63.55 Cu.upf
CELL_PARAMETERS angstrom
-0.802 1.455 -5.034
2.018 -4.614 -1.655
-4.836 -2.167 0.145
ATOMIC_POSITIONS crystal
Na 0.000 0.500 0.500
Na 0.500 0.500 0.000
Na 0.500 0.000 0.500
F 0.773 0.227 0.227
F 0.227 0.773 0.773
F 0.773 0.773 0.227
F 0.227 0.773 0.227
F 0.227 0.227 0.227
F 0.773 0.227 0.773
F 0.773 0.773 0.773
F 0.227 0.227 0.773
Cu 0.000 0.000 0.000
```

According to the calculations, the structures order from most to least stable as a, b.

--- a ---
Entry from the Alexandria database: an optimized crystal structure of Na2CuF4 (PBE-GGA). Values from VASP.

The volume comes out at 12.76 Å³/atom.

Cell and atoms, written as Quantum ESPRESSO input:
```
&SYSTEM
  ibrav = 0, nat = 14, ntyp = 3
/
ATOMIC_SPECIES
F 19.00 F.upf
Na 22.99 Na.upf
Cu 63.55 Cu.upf
CELL_PARAMETERS angstrom
-0.128 -6.421 6.836
1.650 -2.141 -1.980
5.102 1.796 1.783
ATOMIC_POSITIONS crystal
F 0.191 0.988 0.124
F 0.550 0.582 0.737
F 0.309 0.988 0.624
F 0.691 0.012 0.376
F 0.450 0.418 0.263
F 0.050 0.418 0.763
F 0.809 0.012 0.876
F 0.950 0.582 0.237
Na 0.318 0.481 0.916
Na 0.818 0.519 0.584
Na 0.682 0.519 0.084
Na 0.182 0.481 0.416
Cu 0.500 0.000 0.500
Cu 0.000 0.000 0.000
```

--- b ---
Entry from the Alexandria database: an optimized crystal structure of Na2CuF4 (PBE-GGA). Values from VASP.

The volume comes out at 13.46 Å³/atom. The value obtained for the density of states at the Fermi level is 0.3 states/eV/f.u.

Cell and atoms, written as Quantum ESPRESSO input:
```
&SYSTEM
  ibrav = 0, nat = 7, ntyp = 3
/
ATOMIC_SPECIES
F 19.00 F.upf
Na 22.99 Na.upf
Cu 63.55 Cu.upf
CELL_PARAMETERS angstrom
4.024 0.000 0.000
0.000 4.024 0.000
2.012 2.012 5.820
ATOMIC_POSITIONS crystal
F 0.500 0.000 0.000
F 0.000 0.500 0.000
F 0.170 0.170 0.661
F 0.830 0.830 0.339
Na 0.358 0.358 0.283
Na 0.642 0.642 0.717
Cu 0.000 0.000 0.000
```

According to the calculations, the structures order from most to least stable as a, b.

--- a ---
Entry from the Alexandria database: an optimized crystal structure of Na2CuF4 (PBE-GGA). Values from VASP.

The volume comes out at 15.00 Å³/atom. The value obtained for the density of states at the Fermi level is 6.2 states/eV/f.u.

Cell and atoms, written as Quantum ESPRESSO input:
```
&SYSTEM
  ibrav = 0, nat = 14, ntyp = 3
/
ATOMIC_SPECIES
Cu 63.55 Cu.upf
F 19.00 F.upf
Na 22.99 Na.upf
CELL_PARAMETERS angstrom
5.970 0.000 0.206
0.000 5.896 0.000
-1.981 0.000 5.897
ATOMIC_POSITIONS crystal
Cu 0.195 0.750 0.187
Cu 0.805 0.250 0.813
F 0.451 0.976 0.244
F 0.981 0.750 0.898
F 0.549 0.476 0.756
F 0.549 0.024 0.756
F 0.451 0.524 0.244
F 0.034 0.250 0.659
F 0.966 0.750 0.341
F 0.019 0.250 0.102
Na 0.348 0.250 0.968
Na 0.652 0.750 0.032
Na 0.717 0.750 0.550
Na 0.283 0.250 0.450
```

--- b ---
Entry from the Alexandria database: an optimized crystal structure of Na2CuF4 (PBE-GGA). Values from VASP.

The volume comes out at 14.29 Å³/atom.

Cell and atoms, written as Quantum ESPRESSO input:
```
&SYSTEM
  ibrav = 0, nat = 28, ntyp = 3
/
ATOMIC_SPECIES
Na 22.99 Na.upf
Cu 63.55 Cu.upf
F 19.00 F.upf
CELL_PARAMETERS angstrom
-2.016 5.984 -0.997
-2.149 0.278 6.014
8.686 3.416 2.945
ATOMIC_POSITIONS crystal
Na 0.251 0.500 0.750
Na 0.236 0.236 0.375
Na 0.764 0.236 0.625
Na 0.764 0.764 0.875
Na 0.236 0.764 0.125
Na 0.749 0.500 0.250
Na 0.500 0.749 0.500
Na 0.500 0.251 0.000
Cu 0.257 0.000 0.750
Cu 0.000 0.257 0.000
Cu 0.000 0.743 0.500
Cu 0.743 0.000 0.250
F 0.471 0.782 0.745
F 0.529 0.782 0.255
F 0.782 0.529 0.495
F 0.218 0.529 0.505
F 0.217 0.956 0.505
F 0.529 0.218 0.245
F 0.956 0.783 0.255
F 0.956 0.217 0.245
F 0.783 0.044 0.005
F 0.044 0.783 0.745
F 0.783 0.956 0.495
F 0.471 0.218 0.755
F 0.044 0.217 0.755
F 0.217 0.044 0.995
F 0.782 0.471 0.005
F 0.218 0.471 0.995
```

According to the calculations, the structures order from most to least stable as b, a.

--- a ---
Entry from the Alexandria database: an optimized crystal structure of NaCu3F (PBE-GGA). Values from VASP.

The volume comes out at 20.40 Å³/atom. The value obtained for the density of states at the Fermi level is 2.0 states/eV/f.u.

Cell and atoms, written as Quantum ESPRESSO input:
```
&SYSTEM
  ibrav = 0, nat = 5, ntyp = 3
/
ATOMIC_SPECIES
F 19.00 F.upf
Cu 63.55 Cu.upf
Na 22.99 Na.upf
CELL_PARAMETERS angstrom
4.672 0.000 0.000
0.000 4.672 0.000
0.000 0.000 4.672
ATOMIC_POSITIONS crystal
F 0.500 0.500 0.500
Cu 0.000 0.500 0.000
Cu 0.500 0.000 0.000
Cu 0.000 0.000 0.500
Na 0.000 0.000 0.000
```

--- b ---
Entry from the Alexandria database: an optimized crystal structure of NaCu3F (PBE-GGA). Values from VASP.

The volume comes out at 16.22 Å³/atom. The value obtained for the density of states at the Fermi level is 2.0 states/eV/f.u.

Cell and atoms, written as Quantum ESPRESSO input:
```
&SYSTEM
  ibrav = 0, nat = 5, ntyp = 3
/
ATOMIC_SPECIES
Na 22.99 Na.upf
F 19.00 F.upf
Cu 63.55 Cu.upf
CELL_PARAMETERS angstrom
-0.432 -3.938 1.746
-0.293 -1.724 -3.960
4.297 -0.513 -0.094
ATOMIC_POSITIONS crystal
Na 0.500 0.500 0.500
F 0.000 0.000 0.000
Cu 0.000 0.000 0.500
Cu 0.500 0.000 0.000
Cu 0.000 0.500 0.000
```

According to the calculations, the structures order from most to least stable as b, a.